(one)
Material: Sr2ReOs
Method: DFT, meta-GGA SCAN
State: PBEsol geometry

Values from the calculation:
size of the total moment = 0.00 Bohr magnetons per cell
crystal system = cubic

Cell lengths 6.9098, 6.9098, 6.9098 Å; angles 90.00, 90.00, 90.00 degrees
Space group F-43m (No. 216)
Inequivalent atoms, fractional coordinates:
Sr  0.0000  0.0000  0.0000 [4 per cell]
Sr  0.2500  0.2500  0.2500 [4 per cell]
Re  0.0000  0.0000  0.5000 [4 per cell]
Os  0.2500  0.2500  0.7500 [4 per cell]

(two)
Material: Sr2ReOs
Method: DFT, meta-GGA SCAN
State: PBEsol geometry

Values from the calculation:
size of the total moment = 0.59 Bohr magnetons per cell
crystal system = tetragonal

Cell lengths 2.8225, 2.8225, 10.1587 Å; angles 90.00, 90.00, 90.00 degrees
Space group P4/mmm (No. 123)
Inequivalent atoms, fractional coordinates:
Sr  0.0000  0.0000  0.2430 [2 per cell]
Re  0.5000  0.5000  0.5000 [1 per cell]
Os  0.5000  0.5000  0.0000 [1 per cell]

What should be chosen as the most stable of them? Choose (one).

(one)
Material: TaRe2Os
Method: DFT, meta-GGA SCAN
State: PBEsol geometry

Values from the calculation:
size of the total moment = 0.00 Bohr magnetons per cell
crystal system = tetragonal

Cell lengths 2.7674, 2.7674, 7.9715 Å; angles 90.00, 90.00, 90.00 degrees
Space group P4mm (No. 99)
Inequivalent atoms, fractional coordinates:
Ta  0.0000  0.0000  0.0000 [1 per cell]
Re  0.0000  0.0000  0.4899 [1 per cell]
Re  0.5000  0.5000  0.7301 [1 per cell]
Os  0.5000  0.5000  0.2630 [1 per cell]

(two)
Material: TaRe2Os
Method: DFT, meta-GGA SCAN
State: PBEsol geometry

Values from the calculation:
size of the total moment = 0.00 Bohr magnetons per cell
crystal system = tetragonal

Cell lengths 2.7425, 2.7425, 8.1162 Å; angles 90.00, 90.00, 90.00 degrees
Space group P4/mmm (No. 123)
Inequivalent atoms, fractional coordinates:
Ta  0.0000  0.0000  0.0000 [1 per cell]
Re  0.5000  0.5000  0.2700 [2 per cell]
Os  0.0000  0.0000  0.5000 [1 per cell]

What should be chosen as the most stable of them? Choose (one).

(one)
Material: TaRe2Os
Method: DFT, meta-GGA SCAN
State: PBEsol geometry

Values from the calculation:
size of the total moment = 0.00 Bohr magnetons per cell
crystal system = orthorhombic

Cell lengths 3.1411, 4.3879, 8.8282 Å; angles 90.00, 90.00, 90.00 degrees
Space group Immm (No. 71)
Inequivalent atoms, fractional coordinates:
Ta  0.0000  0.0000  0.0000 [2 per cell]
Re  0.0000  0.5000  0.2607 [4 per cell]
Os  0.0000  0.0000  0.5000 [2 per cell]

(two)
Material: TaRe2Os
Method: DFT, meta-GGA SCAN
State: PBEsol geometry

Values from the calculation:
size of the total moment = 0.00 Bohr magnetons per cell
crystal system = orthorhombic

Cell lengths 2.8019, 3.8723, 5.6154 Å; angles 90.00, 90.00, 90.00 degrees
Space group Pmm2 (No. 25)
Inequivalent atoms, fractional coordinates:
Ta  0.0000  0.0000  0.0000 [1 per cell]
Re  0.0000  0.0000  0.4971 [1 per cell]
Re  0.5000  0.5000  0.7299 [1 per cell]
Os  0.5000  0.5000  0.2539 [1 per cell]

What should be chosen as the most stable of them? Choose (one).

(one)
Material: ReTcOs2
Method: DFT, meta-GGA SCAN
State: PBEsol geometry

Values from the calculation:
size of the total moment = 0.00 Bohr magnetons per cell
crystal system = monoclinic

Cell lengths 9.0258, 2.7152, 4.6908 Å; angles 90.00, 100.04, 90.00 degrees
Space group C2/m (No. 12)
Inequivalent atoms, fractional coordinates:
Re  0.0000  0.0000  0.0000 [2 per cell]
Tc  0.0000  0.5000  0.5000 [2 per cell]
Os  0.2503  0.0000  0.7484 [4 per cell]

(two)
Material: ReTcOs2
Method: DFT, meta-GGA SCAN
State: PBEsol geometry

Values from the calculation:
size of the total moment = 0.00 Bohr magnetons per cell
crystal system = orthorhombic

Cell lengths 2.7354, 4.3449, 4.7374 Å; angles 90.00, 90.00, 90.00 degrees
Space group Pmm2 (No. 25)
Inequivalent atoms, fractional coordinates:
Re  0.0000  0.0000  0.0000 [1 per cell]
Tc  0.0000  0.5000  0.6680 [1 per cell]
Os  0.5000  0.0000  0.5048 [1 per cell]
Os  0.5000  0.5000  0.1683 [1 per cell]

(three)
Material: ReTcOs2
Method: DFT, meta-GGA SCAN
State: PBEsol geometry

Values from the calculation:
size of the total moment = 0.00 Bohr magnetons per cell
crystal system = monoclinic

Cell lengths 9.0089, 2.7151, 4.7029 Å; angles 90.00, 99.98, 90.00 degrees
Space group Cm (No. 8)
Inequivalent atoms, fractional coordinates:
Re  0.0000  0.0000  0.0000 [2 per cell]
Tc  0.2455  0.0000  0.7387 [2 per cell]
Os  0.2469  0.5000  0.2432 [2 per cell]
Os  0.4982  0.0000  0.4996 [2 per cell]

(four)
Material: ReTcOs2
Method: DFT, meta-GGA SCAN
State: PBEsol geometry

Values from the calculation:
size of the total moment = 0.00 Bohr magnetons per cell
crystal system = orthorhombic

Cell lengths 5.4257, 7.6768, 2.7168 Å; angles 90.00, 90.00, 90.00 degrees
Space group Cmmm (No. 65)
Inequivalent atoms, fractional coordinates:
Re  0.0000  0.0000  0.0000 [2 per cell]
Tc  0.0000  0.5000  0.0000 [2 per cell]
Os  0.2500  0.2500  0.5000 [4 per cell]

What should be chosen as the most stable of them? Choose (two).

(one)
Material: ReTc2Os
Method: DFT, meta-GGA SCAN
State: PBEsol geometry

Values from the calculation:
size of the total moment = 0.00 Bohr magnetons per cell
crystal system = monoclinic

Cell lengths 9.0164, 2.7146, 4.7094 Å; angles 90.00, 100.00, 90.00 degrees
Space group Cm (No. 8)
Inequivalent atoms, fractional coordinates:
Re  0.0000  0.0000  0.0000 [2 per cell]
Tc  0.2552  0.0000  0.7472 [2 per cell]
Tc  0.4955  0.0000  0.4970 [2 per cell]
Os  0.2540  0.5000  0.2494 [2 per cell]

(two)
Material: ReTc2Os
Method: DFT, meta-GGA SCAN
State: PBEsol geometry

Values from the calculation:
size of the total moment = 0.00 Bohr magnetons per cell
crystal system = tetragonal

Cell lengths 3.8381, 3.8381, 3.8462 Å; angles 90.00, 90.00, 90.00 degrees
Space group P4/mmm (No. 123)
Inequivalent atoms, fractional coordinates:
Re  0.0000  0.0000  0.0000 [1 per cell]
Tc  0.0000  0.5000  0.5000 [2 per cell]
Os  0.5000  0.5000  0.0000 [1 per cell]

What should be chosen as the most stable of them? Choose (two).

(one)
Material: TlReOs2
Method: DFT, meta-GGA SCAN
State: PBEsol geometry

Values from the calculation:
size of the total moment = 0.00 Bohr magnetons per cell
crystal system = orthorhombic

Cell lengths 2.8154, 3.7760, 6.0020 Å; angles 90.00, 90.00, 90.00 degrees
Space group Pmmm (No. 47)
Inequivalent atoms, fractional coordinates:
Tl  0.0000  0.0000  0.0000 [1 per cell]
Re  0.0000  0.0000  0.5000 [1 per cell]
Os  0.5000  0.5000  0.2820 [2 per cell]

(two)
Material: TlReOs2
Method: DFT, meta-GGA SCAN
State: PBEsol geometry

Values from the calculation:
size of the total moment = 0.00 Bohr magnetons per cell
crystal system = orthorhombic

Cell lengths 2.8003, 3.9138, 5.8515 Å; angles 90.00, 90.00, 90.00 degrees
Space group Pmm2 (No. 25)
Inequivalent atoms, fractional coordinates:
Tl  0.0000  0.0000  0.0000 [1 per cell]
Re  0.5000  0.5000  0.6992 [1 per cell]
Os  0.0000  0.0000  0.5082 [1 per cell]
Os  0.5000  0.5000  0.2682 [1 per cell]

What should be chosen as the most stable of them? Choose (one).

(one)
Material: Re2OsW
Method: DFT, meta-GGA SCAN
State: PBEsol geometry

Values from the calculation:
size of the total moment = 0.00 Bohr magnetons per cell
crystal system = cubic

Cell lengths 6.1922, 6.1922, 6.1922 Å; angles 90.00, 90.00, 90.00 degrees
Space group Fm-3m (No. 225)
Inequivalent atoms, fractional coordinates:
Re  0.2500  0.2500  0.2500 [8 per cell]
Os  0.0000  0.0000  0.0000 [4 per cell]
W  0.0000  0.0000  0.5000 [4 per cell]

(two)
Material: Re2OsW
Method: DFT, meta-GGA SCAN
State: PBEsol geometry

Values from the calculation:
size of the total moment = 0.00 Bohr magnetons per cell
crystal system = trigonal

Cell lengths 2.7454, 2.7454, 27.2273 Å; angles 90.00, 90.00, 120.00 degrees
Space group R-3m (No. 166, hexagonal axes)
Inequivalent atoms, fractional coordinates:
Re  0.0000  0.0000  0.2476 [6 per cell]
Os  0.0000  0.0000  0.5000 [3 per cell]
W  0.0000  0.0000  0.0000 [3 per cell]

(three)
Material: Re2OsW
Method: DFT, meta-GGA SCAN
State: PBEsol geometry

Values from the calculation:
size of the total moment = 0.00 Bohr magnetons per cell
crystal system = orthorhombic

Cell lengths 2.9014, 4.5179, 4.5361 Å; angles 90.00, 90.00, 90.00 degrees
Space group Pmmm (No. 47)
Inequivalent atoms, fractional coordinates:
Re  0.0000  0.0000  0.0000 [1 per cell]
Re  0.5000  0.5000  0.0000 [1 per cell]
Os  0.0000  0.5000  0.5000 [1 per cell]
W  0.5000  0.0000  0.5000 [1 per cell]

What should be chosen as the most stable of them? Choose (two).